This record from Alexandria describes an optimized crystal structure of Y4Ni2Hg. The functional is PBE.

The space group is I4/mmm (No. 139) and the conventional cell measures 5.6063, 5.6063 and 13.1661 Å, with angles of 90.00, 90.00 and 90.00 degrees. The asymmetric unit holds Y at (0.0000, 0.0000, 0.2237), Y at (0.0000, 0.5000, 0.0000), Ni at (0.0000, 0.0000, 0.4147) and Hg at (0.0000, 0.0000, 0.0000).

The density of states at the Fermi level is 1.438 states/eV per atom. For the energy relative to the elements, the calculation gives 1.27 eV per formula unit. As for the density: 5.4 g/cm3.